[1]
The following is a PBE calculation of crystalline CaAgHg at its relaxed geometry, from the Alexandria database.

abc: 5.5635 5.5635 5.5635
angles: 139.83 139.83 58.11
Fractional positions:
1 Ca 0.0000 0.0000 0.0000
2 Ag 0.6722 0.6722 0.0000
3 Hg 0.3282 0.3282 0.0000

Properties
total magnetization	0.00	μB per cell
formation energy from the elements	-0.355	eV per atom
symmetry	I4mm

***

[2]
The following is a PBE calculation of crystalline Rh3Pb4 at its relaxed geometry, from the Alexandria database.

abc: 8.9975 8.9975 8.9975
angles: 46.39 46.39 46.39
Fractional positions:
1 Rh 0.0000 0.0000 0.0000
2 Rh 0.0000 0.0000 0.5000
3 Rh 0.0000 0.5000 0.0000
4 Rh 0.3545 0.3545 0.3545
5 Rh 0.5000 0.0000 0.0000
6 Rh 0.6455 0.6455 0.6455
7 Pb 0.2338 0.7554 0.7554
8 Pb 0.2431 0.2431 0.2431
9 Pb 0.2446 0.2446 0.7662
10 Pb 0.2446 0.7662 0.2446
11 Pb 0.7554 0.2338 0.7554
12 Pb 0.7554 0.7554 0.2338
13 Pb 0.7569 0.7569 0.7569
14 Pb 0.7662 0.2446 0.2446

Properties
total magnetization	0.00	μB per cell
formation energy from the elements	0.206	eV per atom
excess energy over the best structure of this formula in the dataset	227	meV/atom
symmetry	R-3m

***

[3]
The following is a PBE calculation of crystalline HgMoBr at its relaxed geometry, from the Alexandria database.

abc: 7.0587 7.0587 7.0587
angles: 154.35 154.35 36.58
Fractional positions:
1 Hg 0.0000 0.0000 0.0000
2 Mo 0.6469 0.6469 0.0000
3 Br 0.2561 0.2561 0.0000

Properties
energy relative to the elements, uncorrected	0.505	eV/atom
total magnetization	0.00	μB per cell
excess energy over the best structure of this formula in the dataset	164	meV/atom
symmetry	I4mm

***

[4]
The following is a PBE calculation of crystalline NaSbWN2 at its relaxed geometry, from the Alexandria database.

abc: 4.0633 4.0633 4.9675
angles: 90.00 90.00 90.00
Fractional positions:
1 Na 0.0000 0.0000 0.0000
2 Sb 0.0000 0.0000 0.5000
3 W 0.5000 0.5000 0.5000
4 N 0.0000 0.5000 0.0000
5 N 0.5000 0.0000 0.0000

Properties
energy relative to the elements, uncorrected	2.729	eV/atom
total magnetization	0.00	μB per cell
symmetry	P4/mmm

***

[5]
The following is a PBE calculation of crystalline Li2GeTeO6 at its relaxed geometry, from the Alexandria database.

abc: 5.6824 5.6824 5.6824
angles: 53.16 53.16 53.16
Fractional positions:
1 Li 0.0000 0.0000 0.0000
2 Li 0.2636 0.2636 0.2636
3 Ge 0.7934 0.7934 0.7934
4 Te 0.4734 0.4734 0.4734
5 O 0.0665 0.4267 0.6861
6 O 0.1942 0.8471 0.5851
7 O 0.4267 0.6861 0.0665
8 O 0.5851 0.1942 0.8471
9 O 0.6861 0.0665 0.4267
10 O 0.8471 0.5851 0.1942

Properties
energy relative to the elements, uncorrected	-1.592	eV/atom
total magnetization	0.00	μB per cell
excess energy over the best structure of this formula in the dataset	0	meV/atom
symmetry	R3

***

[6]
The following is a PBE calculation of crystalline NbIn2CoBi at its relaxed geometry, from the Alexandria database.

abc: 5.6851 5.6851 4.6927
angles: 90.00 90.00 90.00
Fractional positions:
1 Nb 0.0000 0.0000 0.0000
2 In 0.0000 0.5000 0.5000
3 In 0.5000 0.0000 0.5000
4 Co 0.5000 0.5000 0.0000
5 Bi 0.5000 0.5000 0.5000

Properties
total magnetization	3.60	μB per cell
formation energy from the elements	1.565	eV per atom
symmetry	P4/mmm

***

[7]
The following is a PBE calculation of crystalline LiTeH at its relaxed geometry, from the Alexandria database.

abc: 7.4697 4.9089 8.1621
angles: 90.00 93.45 90.00
Fractional positions:
1 Li 0.1697 0.0039 0.1215
2 Li 0.1697 0.4961 0.6215
3 Li 0.8303 0.5039 0.3785
4 Li 0.8303 0.9961 0.8785
5 Te 0.2124 0.5036 0.2781
6 Te 0.2124 0.9964 0.7781
7 Te 0.7876 0.0036 0.2219
8 Te 0.7876 0.4964 0.7219
9 H 0.4177 0.5105 0.3754
10 H 0.4177 0.9895 0.8754
11 H 0.5823 0.0105 0.1246
12 H 0.5823 0.4895 0.6246

Properties
total magnetization	0.00	μB per cell
total energy	-3.16	eV per atom
symmetry	P2_1/c

***

[8]
The following is a PBE calculation of crystalline ZrAg at its relaxed geometry, from the Alexandria database.

abc: 4.3921 4.3921 5.5178
angles: 90.00 90.00 120.00
Fractional positions:
1 Zr 0.3333 0.6667 0.2500
2 Zr 0.6667 0.3333 0.7500
3 Ag 0.0000 0.0000 0.0000
4 Ag 0.0000 0.0000 0.5000

Properties
total magnetization	1.18	μB per cell
formation energy from the elements	0.452	eV per atom
symmetry	P6_3/mmc

***

[9]
The following is a PBE calculation of crystalline RbSb2TeMo at its relaxed geometry, from the Alexandria database.

abc: 5.3082 5.3082 5.6846
angles: 90.00 90.00 90.00
Fractional positions:
1 Rb 0.0000 0.0000 0.0000
2 Sb 0.0000 0.5000 0.5000
3 Sb 0.5000 0.0000 0.5000
4 Te 0.5000 0.5000 0.0000
5 Mo 0.5000 0.5000 0.5000

Properties
energy relative to the elements, uncorrected	0.107	eV/atom
total magnetization	0.00	μB per cell
excess energy over the best structure of this formula in the dataset	0	meV/atom
symmetry	P4/mmm

***

[10]
The following is a PBE calculation of crystalline HfPa2C at its relaxed geometry, from the Alexandria database.

abc: 9.3150 9.3150 9.3150
angles: 19.97 19.97 19.97
Fractional positions:
1 Hf 0.0000 0.0000 0.0000
2 Pa 0.1105 0.1105 0.1105
3 Pa 0.8895 0.8895 0.8895
4 C 0.5000 0.5000 0.5000

Properties
total magnetization	0.00	μB per cell
formation energy from the elements	0.091	eV per atom
excess energy over the best structure of this formula in the dataset	0	meV/atom
symmetry	R-3m

***

[11]
The following is a PBE calculation of crystalline Ba3Cu2PdO8 at its relaxed geometry, from the Alexandria database.

abc: 5.7773 5.7773 7.5502
angles: 90.00 90.00 120.00
Fractional positions:
1 Ba 0.0000 0.0000 0.0000
2 Ba 0.3333 0.6667 0.6476
3 Ba 0.6667 0.3333 0.3524
4 Cu 0.3333 0.6667 0.2182
5 Cu 0.6667 0.3333 0.7818
6 Pd 0.0000 0.0000 0.5000
7 O 0.1622 0.3245 0.3284
8 O 0.1622 0.8378 0.3284
9 O 0.3245 0.1622 0.6716
10 O 0.3333 0.6667 0.9841
11 O 0.6667 0.3333 0.0159
12 O 0.6755 0.8378 0.3284
13 O 0.8378 0.1622 0.6716
14 O 0.8378 0.6755 0.6716

Properties
energy relative to the elements, uncorrected	-1.337	eV/atom
total magnetization	4.02	μB per cell
symmetry	P-3m1

***

[12]
The following is a PBE calculation of crystalline ZnNiIr2 at its relaxed geometry, from the Alexandria database.

abc: 5.6139 5.6139 5.6139
angles: 100.55 100.55 129.33
Fractional positions:
1 Zn 0.0000 0.0000 0.0000
2 Zn 0.7500 0.2500 0.5000
3 Ni 0.2500 0.7500 0.5000
4 Ni 0.5000 0.5000 0.0000
5 Ir 0.1733 0.6250 0.0483
6 Ir 0.3750 0.4233 0.5483
7 Ir 0.5767 0.1250 0.9517
8 Ir 0.8750 0.8267 0.4517

Properties
total magnetization	0.00	μB per cell
formation energy from the elements	0.499	eV per atom
symmetry	I-42d

***

[13]
The following is a PBE calculation of crystalline NaMgBeC2 at its relaxed geometry, from the Alexandria database.

abc: 4.2661 4.2661 4.1422
angles: 90.00 90.00 90.00
Fractional positions:
1 Na 0.0000 0.0000 0.0000
2 Mg 0.5000 0.5000 0.5000
3 Be 0.0000 0.0000 0.5000
4 C 0.0000 0.5000 0.0000
5 C 0.5000 0.0000 0.0000

Properties
total magnetization	0.00	μB per cell
formation energy from the elements	2.642	eV per atom
symmetry	P4/mmm

***

[14]
The following is a PBE calculation of crystalline Sm4GaTeS2 at its relaxed geometry, from the Alexandria database.

abc: 7.2940 4.0842 7.3669
angles: 90.00 108.41 90.00
Fractional positions:
1 Sm 0.2274 0.0000 0.2261
2 Sm 0.2351 0.5000 0.7517
3 Sm 0.7649 0.5000 0.2483
4 Sm 0.7726 0.0000 0.7739
5 Ga 0.5000 0.0000 0.0000
6 Te 0.5000 0.5000 0.5000
7 S 0.0000 0.0000 0.5000
8 S 0.0000 0.5000 0.0000

Properties
energy relative to the elements, uncorrected	-1.484	eV/atom
total magnetization	0.00	μB per cell
symmetry	P2/m